[1]
This record from Alexandria via LeMat-Bulk describes a relaxed TlCo2Re crystal. The functional is PBE-GGA.

Values from the calculation:
energy relative to the lowest polymorph listed for this composition: 233 meV per atom
energy of formation from the pure elements: 618.5 meV per atom

abc: 4.4364 4.4364 5.1712
angles: 97.87 97.87 37.10
With the nearest neighbours (Å) after each atom.
Atoms (fractional coordinates):
1 Tl 0.0000 0.0000 0.0000  6 Co 2.76-2.87, 2 Tl 2.82, 4 Re 2.95
2 Co 0.2426 0.2426 0.6920  2 Co 2.45, 3 Re 2.51-2.56
3 Co 0.7574 0.7574 0.3080  2 Co 2.45, 3 Re 2.51-2.56
4 Re 0.5000 0.5000 0.5000  6 Co 2.51-2.56


[2]
This record from Alexandria via LeMat-Bulk describes a relaxed AgTe2 crystal. The functional is PBE-GGA.

Values from the calculation:
ΔE_f (raw): 0.11 eV/atom

abc: 7.6355 7.6355 5.3225
angles: 90.00 90.00 120.00
With the nearest neighbours (Å) after each atom.
Atoms (fractional coordinates):
1 Ag 0.0000 0.0000 0.0000  6 Te 3.04
2 Ag 0.3333 0.6667 0.5000  6 Te 2.88
3 Ag 0.6667 0.3333 0.5000  6 Te 2.88
4 Te 0.0000 0.3715 0.2045  3 Ag 2.88-3.04, 1 Te 2.93
5 Te 0.0000 0.6285 0.7955  3 Ag 2.88-3.04, 1 Te 2.93
6 Te 0.3715 0.0000 0.2045  3 Ag 2.88-3.04, 1 Te 2.93
7 Te 0.3715 0.3715 0.7955  3 Ag 2.88-3.04, 1 Te 2.93
8 Te 0.6285 0.0000 0.7955  3 Ag 2.88-3.04, 1 Te 2.93
9 Te 0.6285 0.6285 0.2045  3 Ag 2.88-3.04, 1 Te 2.93


[3]
This record from Alexandria via LeMat-Bulk describes a relaxed MnIn crystal. The functional is PBE-GGA.

Values from the calculation:
energy of formation from the pure elements: 245.2 meV per atom

abc: 7.1902 7.1902 7.1902
angles: 92.51 92.51 155.84
With the nearest neighbours (Å) after each atom.
Atoms (fractional coordinates):
1 Mn 0.0254 0.3474 0.3728  4 Mn 2.65, 4 In 2.85-2.93
2 Mn 0.3474 0.9746 0.3220  4 Mn 2.65, 4 In 2.85-2.93
3 Mn 0.6526 0.0254 0.6780  4 Mn 2.65, 4 In 2.85-2.93
4 Mn 0.9746 0.6526 0.6272  4 Mn 2.65, 4 In 2.85-2.93
5 In 0.3315 0.3610 0.6925  5 Mn 2.85-3.05, 6 In 3.01-3.12
6 In 0.3610 0.6685 0.0295  5 Mn 2.85-3.05, 6 In 3.01-3.12
7 In 0.6390 0.3315 0.9705  5 Mn 2.85-3.05, 6 In 3.01-3.12
8 In 0.6685 0.6390 0.3075  5 Mn 2.85-3.05, 6 In 3.01-3.12


[4]
This record from Alexandria via LeMat-Bulk describes a relaxed Cu2AgMo crystal. The functional is PBE-GGA.

Values from the calculation:
energy relative to the lowest polymorph listed for this composition: 0 meV per atom
energy of formation from the pure elements: 203.0 meV per atom

abc: 2.6907 2.6907 7.9794
angles: 90.00 90.00 90.20
With the nearest neighbours (Å) after each atom.
Atoms (fractional coordinates):
1 Cu 0.0000 0.0000 0.2446  4 Cu 2.69, 4 Mo 2.72-2.73, 4 Ag 2.79
2 Cu 0.0000 0.0000 0.7554  4 Cu 2.69, 4 Mo 2.72-2.73, 4 Ag 2.79
3 Ag 0.5000 0.5000 0.5000  4 Ag 2.69, 8 Cu 2.79
4 Mo 0.5000 0.5000 0.0000  4 Mo 2.69, 8 Cu 2.72-2.73


[5]
This record from Alexandria via LeMat-Bulk describes a relaxed Pr5Nd crystal. The functional is PBE-GGA.

Values from the calculation:
energy of formation from the pure elements: 10.9 meV per atom

abc: 5.2692 11.1068 7.3967
angles: 90.00 90.00 90.00
With the nearest neighbours (Å) after each atom.
Atoms (fractional coordinates):
1 Pr 0.2500 0.0833 0.1247  9 Pr 3.69-3.71, 3 Nd 3.70-3.71
2 Pr 0.2500 0.0837 0.6255  10 Pr 3.69-3.72, 2 Nd 3.71
3 Pr 0.2500 0.4163 0.6255  10 Pr 3.69-3.72, 2 Nd 3.71
4 Pr 0.2500 0.4167 0.1247  9 Pr 3.69-3.71, 3 Nd 3.70-3.71
5 Pr 0.2500 0.7500 0.6251  2 Nd 3.69-3.70, 10 Pr 3.71
6 Pr 0.7500 0.2500 0.3749  2 Nd 3.69-3.70, 10 Pr 3.71
7 Pr 0.7500 0.5833 0.8753  9 Pr 3.69-3.71, 3 Nd 3.70-3.71
8 Pr 0.7500 0.5837 0.3745  10 Pr 3.69-3.72, 2 Nd 3.71
9 Pr 0.7500 0.9163 0.3745  10 Pr 3.69-3.72, 2 Nd 3.71
10 Pr 0.7500 0.9167 0.8753  9 Pr 3.69-3.71, 3 Nd 3.70-3.71
11 Nd 0.2500 0.7500 0.1244  12 Pr 3.69-3.71
12 Nd 0.7500 0.2500 0.8756  12 Pr 3.69-3.71


[6]
This record from Alexandria via LeMat-Bulk describes a relaxed SrAcBi crystal. The functional is PBE-GGA.

Values from the calculation:
energy relative to the lowest polymorph listed for this composition: 0 meV per atom
energy of formation from the pure elements: -487.0 meV per atom

abc: 7.7713 7.7713 7.7713
angles: 148.27 148.27 45.49
With the nearest neighbours (Å) after each atom.
Atoms (fractional coordinates):
1 Sr 0.0000 0.0000 0.0000  4 Bi 3.63, 1 Ac 3.80
2 Ac 0.2654 0.2654 0.0000  4 Bi 3.49, 1 Sr 3.80
3 Bi 0.6418 0.6418 0.0000  4 Ac 3.49, 4 Sr 3.63


[7]
This record from Alexandria via LeMat-Bulk describes a relaxed LaZr3Bi crystal. The functional is PBE-GGA.

Values from the calculation:
energy relative to the lowest polymorph listed for this composition: 362 meV per atom
energy of formation from the pure elements: 1056.9 meV per atom

abc: 5.1948 5.1948 5.1948
angles: 90.00 90.00 90.00
With the nearest neighbours (Å) after each atom.
Atoms (fractional coordinates):
1 La 0.0000 0.0000 0.0000  6 Zr 2.60
2 Zr 0.0000 0.0000 0.5000  2 La 2.60
3 Zr 0.0000 0.5000 0.0000  2 La 2.60
4 Zr 0.5000 0.0000 0.0000  2 La 2.60
5 Bi 0.5000 0.5000 0.5000  12 Zr 3.67


[8]
This record from Alexandria via LeMat-Bulk describes a relaxed TaInNiC crystal. The functional is PBE-GGA.

Values from the calculation:
energy relative to the lowest polymorph listed for this composition: 154 meV per atom
energy of formation from the pure elements: 60.5 meV per atom

abc: 2.9235 6.4772 6.4772
angles: 27.49 90.00 90.00
With the nearest neighbours (Å) after each atom.
Atoms (fractional coordinates):
1 Ta 0.0000 0.0000 0.0000  4 C 2.23
2 In 0.5000 0.6877 0.6877  4 Ni 2.78, 4 In 2.92-3.08, 1 C 3.03
3 Ni 0.0000 0.3304 0.3304  2 C 2.07
4 C 0.5000 0.4467 0.4467  2 Ni 2.07, 4 Ta 2.23


[9]
This record from Alexandria via LeMat-Bulk describes a relaxed Tc2HRu crystal. The functional is PBE-GGA.

Values from the calculation:
energy relative to the lowest polymorph listed for this composition: 461 meV per atom

abc: 7.3496 7.3496 7.3496
angles: 21.75 21.75 21.75
With the nearest neighbours (Å) after each atom.
Atoms (fractional coordinates):
1 Tc 0.1141 0.1141 0.1141  3 H 1.96
2 Tc 0.8859 0.8859 0.8859  3 H 1.96
3 H 0.5000 0.5000 0.5000  6 Tc 1.96
4 Ru 0.0000 0.0000 0.0000  2 Tc 2.46


[10]
This record from Alexandria via LeMat-Bulk describes a relaxed SnH3S crystal. The functional is PBE-GGA.

Values from the calculation:
electronic total energy: -2.946 eV per atom

abc: 3.7610 3.7610 3.7610
angles: 90.00 90.00 90.00
With the nearest neighbours (Å) after each atom.
Atoms (fractional coordinates):
1 Sn 0.0000 0.0000 0.0000  12 H 2.66
2 H 0.0000 0.5000 0.5000  2 S 1.88
3 H 0.5000 0.0000 0.5000  2 S 1.88
4 H 0.5000 0.5000 0.0000  2 S 1.88
5 S 0.5000 0.5000 0.5000  6 H 1.88


[11]
This record from Alexandria via LeMat-Bulk describes a relaxed K3Er2PuSe6 crystal. The functional is PBE-GGA.

Values from the calculation:
ΔE_f (raw): -1.64 eV/atom

abc: 7.3217 7.3217 8.0346
angles: 98.74 98.74 120.00
With the nearest neighbours (Å) after each atom.
Atoms (fractional coordinates):
1 K 0.0000 0.0000 0.0000  6 Se 3.30-3.35
2 K 0.3344 0.6656 0.0000  6 Se 3.31-3.35
3 K 0.6656 0.3344 0.0000  6 Se 3.31-3.35
4 Er 0.1667 0.8333 0.5000  6 Se 2.88
5 Er 0.8333 0.1667 0.5000  6 Se 2.88
6 Pu 0.5000 0.5000 0.5000  6 Se 2.94
7 Se 0.0925 0.4319 0.2959  2 Er 2.88, 1 Pu 2.94
8 Se 0.2285 0.2285 0.7040  2 Er 2.88, 1 Pu 2.94
9 Se 0.4319 0.0925 0.2959  2 Er 2.88, 1 Pu 2.94
10 Se 0.5681 0.9075 0.7041  2 Er 2.88, 1 Pu 2.94
11 Se 0.7715 0.7715 0.2960  2 Er 2.88, 1 Pu 2.94
12 Se 0.9075 0.5681 0.7041  2 Er 2.88, 1 Pu 2.94


[12]
This record from Alexandria via LeMat-Bulk describes a relaxed Ce6Ir2PtI3 crystal. The functional is PBE-GGA.

Values from the calculation:
ΔE_f (raw): -0.95 eV/atom

abc: 7.2702 7.2702 8.3162
angles: 98.38 98.38 120.00
With the nearest neighbours (Å) after each atom.
Atoms (fractional coordinates):
1 Ce 0.0972 0.4376 0.8127  2 Ir 2.82, 1 Pt 2.89
2 Ce 0.2219 0.2219 0.1867  2 Ir 2.82, 1 Pt 2.89
3 Ce 0.4376 0.0972 0.8127  2 Ir 2.82, 1 Pt 2.89
4 Ce 0.5624 0.9028 0.1873  2 Ir 2.82, 1 Pt 2.89
5 Ce 0.7781 0.7781 0.8133  2 Ir 2.82, 1 Pt 2.89
6 Ce 0.9028 0.5624 0.1873  2 Ir 2.82, 1 Pt 2.89
7 Ir 0.1667 0.8333 0.0000  6 Ce 2.82
8 Ir 0.8333 0.1667 0.0000  6 Ce 2.82
9 Pt 0.5000 0.5000 0.0000  6 Ce 2.89
10 I 0.0000 0.0000 0.5000  6 Ce 3.44-3.49
11 I 0.3342 0.6658 0.5000  6 Ce 3.44-3.49
12 I 0.6658 0.3342 0.5000  6 Ce 3.44-3.49


[13]
This record from Alexandria via LeMat-Bulk describes a relaxed ZnSiBr2 crystal. The functional is PBE-GGA.

Values from the calculation:
energy relative to the lowest polymorph listed for this composition: 7 meV per atom
ΔE_f (raw): -0.15 eV/atom

abc: 8.8179 8.8179 8.8179
angles: 25.00 25.00 25.00
With the nearest neighbours (Å) after each atom.
Atoms (fractional coordinates):
1 Zn 0.0000 0.0000 0.0000  3 Br 2.67, 3 Si 2.70
2 Si 0.2722 0.2722 0.2722  3 Zn 2.70, 3 Br 2.71
3 Br 0.5440 0.5440 0.5440  3 Si 2.71
4 Br 0.7257 0.7257 0.7257  3 Zn 2.67